RbMgTl4: optimized geometry, PBE-GGA.

```
data_RbMgTl4
_symmetry_space_group_name_H-M 'F -4 3 m'
_symmetry_Int_Tables_number 216
_symmetry_space_group_name_Hall 'F -4 2 3'
_cell_length_a 9.3365
_cell_length_b 9.3365
_cell_length_c 9.3365
_cell_angle_alpha 90.00
_cell_angle_beta 90.00
_cell_angle_gamma 90.00
loop_
_atom_site_label
_atom_site_type_symbol
_atom_site_fract_x
_atom_site_fract_y
_atom_site_fract_z
_atom_site_occupancy
Rb1 Rb 0.0000 0.0000 0.0000 1
Mg1 Mg 0.2500 0.2500 0.7500 1
Tl1 Tl 0.1243 0.1243 0.3757 1
```

density = 7.6 Mg/m³
energy above the lowest structure with this stoichiometry = 109 meV per atom
total energy = -46.867 eV per cell
formation energy = 0.052 eV/atom